(1)
VASP calculation (PBE) on an optimized crystal structure of RbAg2F7.

Computed properties:
The formation energy (no corrections) comes out at -134 kJ/mol of atoms.

Lattice parameters (Å, degrees): 6.4646 12.4081 4.1798 90.00 90.00 90.00
With the nearest neighbours (Å) after each atom.
Space group Cmmm (No. 65)
Unique sites:
1 Rb 0.0000 0.0000 0.0000 [2 per cell]  8 F 3.07
2 Ag 0.0000 0.3304 0.5000 [4 per cell]  5 F 2.03-2.10
3 F 0.0000 0.3308 0.0000 [4 per cell]  2 Ag 2.09
4 F 0.0000 0.5000 0.5000 [2 per cell]  2 Ag 2.10
5 F 0.1877 0.1524 0.5000 [8 per cell]  1 Ag 2.03

=====

(2)
VASP calculation (PBE) on an optimized crystal structure of Ga2BTe.

Computed properties:
The formation energy (no corrections) comes out at 93 kJ/mol of atoms.

Lattice parameters (Å, degrees): 6.7558 6.7558 6.7558 90.00 90.00 90.00
With the nearest neighbours (Å) after each atom.
Space group Fm-3m (No. 225)
Unique sites:
1 Ga 0.2500 0.2500 0.2500 [8 per cell]  4 Te 2.93, 4 B 2.93
2 B 0.0000 0.0000 0.0000 [4 per cell]  8 Ga 2.93
3 Te 0.0000 0.0000 0.5000 [4 per cell]  8 Ga 2.93

=====

(3)
VASP calculation (PBE) on an optimized crystal structure of GeBiOs2.

Computed properties:
The value obtained for the total energy is -6.94 eV per atom.

Lattice parameters (Å, degrees): 6.4889 6.4889 6.4889 90.00 90.00 90.00
With the nearest neighbours (Å) after each atom.
Space group Fm-3m (No. 225)
Unique sites:
1 Ge 0.0000 0.0000 0.0000 [4 per cell]  8 Os 2.81
2 Bi 0.0000 0.0000 0.5000 [4 per cell]  8 Os 2.81
3 Os 0.2500 0.2500 0.2500 [8 per cell]  4 Ge 2.81, 4 Bi 2.81

=====

(4)
VASP calculation (PBE) on an optimized crystal structure of Er10In3Bi3.

Computed properties:
The value obtained for the total energy is -4.63 eV per atom.

Lattice parameters (Å, degrees): 8.9795 8.9795 6.5305 90.00 90.00 120.00
With the nearest neighbours (Å) after each atom.
Space group P-62m (No. 189)
Unique sites:
1 Er 0.0000 0.2355 0.0000 [3 per cell]  3 In 3.08-3.33
2 Er 0.0000 0.7655 0.5000 [3 per cell]  3 Bi 3.10-3.31
3 Er 0.3333 0.6667 0.2426 [4 per cell]  2 Er 3.17-3.36, 3 In 3.18, 3 Bi 3.23
4 In 0.0000 0.6058 0.0000 [3 per cell]  7 Er 3.08-3.33
5 Bi 0.0000 0.3968 0.5000 [3 per cell]  7 Er 3.10-3.31

=====

(5)
VASP calculation (PBE) on an optimized crystal structure of Na3Tl2Pb4.

Computed properties:
The value obtained for the total energy is -2.73 eV per atom.

Lattice parameters (Å, degrees): 5.8588 5.9991 9.0069 86.47 74.66 61.05
With the nearest neighbours (Å) after each atom.
Space group P-1 (No. 2)
Unique sites:
1 Na 0.0000 0.0000 0.0000 [1 per cell]  2 Tl 3.36, 8 Pb 3.40-3.54, 2 Na 3.61
2 Na 0.1147 0.3261 0.6614 [2 per cell]  4 Tl 3.37-3.49, 6 Pb 3.39-3.64, 2 Na 3.61-3.64
3 Tl 0.4363 0.6620 0.6677 [2 per cell]  5 Na 3.36-3.49, 1 Tl 3.40, 6 Pb 3.40-3.75
4 Pb 0.2310 0.0056 0.3244 [2 per cell]  3 Pb 3.31-3.60, 5 Na 3.39-3.54, 3 Tl 3.40-3.51
5 Pb 0.3372 0.3338 0.0014 [2 per cell]  5 Pb 3.31-3.50, 5 Na 3.40-3.64, 2 Tl 3.56-3.57

=====

(6)
VASP calculation (PBE) on an optimized crystal structure of AlZnCd2Ge.

Computed properties:
The value obtained for the total energy is -1.78 eV per atom.

Lattice parameters (Å, degrees): 5.2704 5.2704 4.8821 90.00 90.00 90.00
With the nearest neighbours (Å) after each atom.
Space group P4/mmm (No. 123)
Unique sites:
1 Al 0.0000 0.0000 0.0000 [1 per cell]  2 Ge 2.44, 4 Cd 2.64
2 Zn 0.5000 0.5000 0.5000 [1 per cell]  8 Cd 3.59, 4 Ge 3.73
3 Cd 0.0000 0.5000 0.0000 [2 per cell]  2 Al 2.64
4 Ge 0.0000 0.0000 0.5000 [1 per cell]  2 Al 2.44

=====

(7)
VASP calculation (PBE) on an optimized crystal structure of PmTc4C2.

Computed properties:
The value obtained for the total energy is -9.19 eV per atom.

Lattice parameters (Å, degrees): 3.9495 13.7568 3.9145 90.00 90.00 90.00
With the nearest neighbours (Å) after each atom.
Space group Cmmm (No. 65)
Unique sites:
1 Pm 0.0000 0.0000 0.0000 [2 per cell]  8 Tc 3.14-3.22, 8 C 3.31
2 Tc 0.0000 0.1782 0.5000 [4 per cell]  2 C 2.08
3 Tc 0.0000 0.3150 0.0000 [4 per cell]  2 C 2.09
4 C 0.0000 0.3688 0.5000 [4 per cell]  4 Tc 2.08-2.09

=====

(8)
VASP calculation (PBE) on an optimized crystal structure of NaEr2Cu.

Computed properties:
The value obtained for the total energy is -3.45 eV per atom.

Lattice parameters (Å, degrees): 3.4994 3.4994 32.8789 90.00 90.00 120.00
With the nearest neighbours (Å) after each atom.
Space group R-3m (No. 166, hexagonal axes)
Unique sites:
1 Na 0.0000 0.0000 0.0000 [3 per cell]  6 Na 3.50, 2 Er 3.50
2 Er 0.0000 0.0000 0.1066 [6 per cell]  3 Cu 2.83
3 Cu 0.0000 0.0000 0.5000 [3 per cell]  6 Er 2.83

=====

Number 1: DOS(E_F) 0.244 states/eV per atom. Number 2: DOS(E_F) 0.567 states/eV per atom. Number 3: DOS(E_F) 0.528 states/eV per atom. Number 4: DOS(E_F) 0.669 states/eV per atom. Number 5: DOS(E_F) 0.337 states/eV per atom. Number 6: DOS(E_F) 0.466 states/eV per atom. Number 7: DOS(E_F) 0.297 states/eV per atom. Number 8: DOS(E_F) 0.905 states/eV per atom.